1.
12
Lattice="3.682 -6.376 0.000 3.682 6.376 0.000 -2.453 0.000 7.117" Properties=species:S:1:pos:R:3 comment="GGA-PBE Sr3DyU2As6, relaxed" formation_enthalpy_0k_ev_per_atom=-1.0910 dos_at_fermi_per_ev_cell=11.454 vol_a3_per_atom=27.847 crystal_system=monoclinic pbc="T T T"
Sr 0.000 0.000 0.000
Sr 3.682 2.102 0.000
Sr 3.682 -2.102 0.000
Dy 2.455 0.000 3.559
U 2.455 4.247 3.559
U 2.455 -4.247 3.559
As 1.197 2.176 2.018
As -0.057 0.000 5.100
As 1.197 -2.176 2.018
As 3.713 2.176 5.099
As 4.968 0.000 2.017
As 3.713 -2.176 5.099

***

2.
5
Lattice="5.759 0.000 0.000 0.000 5.759 0.000 0.000 0.000 5.759" Properties=species:S:1:pos:R:3 comment="GGA-PBE La3PtBr, relaxed" dos_at_fermi_per_ev_cell=3.181 vol_a3_per_atom=38.194 crystal_system=cubic formation_energy_uncorrected_ev_per_atom=-0.586 relative_energy_ev_per_atom=0.000 pbc="T T T"
La 0.000 0.000 2.879
La 0.000 2.879 0.000
La 2.879 0.000 0.000
Pt 0.000 0.000 0.000
Br 2.879 2.879 2.879

***

3.
8
Lattice="-2.328 2.328 6.795 2.328 -2.328 6.795 2.328 2.328 -6.795" Properties=species:S:1:pos:R:3 comment="GGA-PBE Os2PbO, relaxed" dos_at_fermi_per_ev_cell=3.912 vol_a3_per_atom=18.413 crystal_system=tetragonal formation_energy_uncorrected_ev_per_atom=0.611 relative_energy_ev_per_atom=0.000 pbc="T T T"
Os 0.425 1.164 1.699
Os -1.164 1.903 5.097
Os -0.425 3.492 1.699
Os 1.164 2.753 5.097
Pb 2.328 0.000 3.398
Pb 0.000 0.000 6.795
O 0.000 0.000 0.000
O 0.000 2.328 3.398

***

4.
4
Lattice="0.000 3.617 3.617 3.617 0.000 3.617 3.617 3.617 0.000" Properties=species:S:1:pos:R:3 comment="GGA-PBE DyTiTlIn, relaxed" formation_enthalpy_0k_ev_per_atom=-0.0926 dos_at_fermi_per_ev_cell=4.699 vol_a3_per_atom=23.656 crystal_system=cubic pbc="T T T"
Dy 0.000 0.000 0.000
Ti 3.617 3.617 3.617
Tl 5.425 5.425 5.425
In 1.808 1.808 1.808

***

5.
4
Lattice="-1.684 1.733 9.357 1.684 -1.733 9.357 1.684 1.733 -9.357" Properties=species:S:1:pos:R:3 comment="GGA-PBE CdTe2Mo, relaxed" dos_at_fermi_per_ev_cell=3.265 vol_a3_per_atom=27.308 crystal_system=orthorhombic formation_energy_uncorrected_ev_per_atom=0.112 pbc="T T T"
Cd 0.000 0.000 0.000
Te 0.000 0.000 6.635
Te 0.000 1.733 3.160
Mo 1.684 0.000 4.557

***

6.
3
Lattice="2.333 -1.463 0.000 2.333 1.463 0.000 -1.729 0.000 7.842" Properties=species:S:1:pos:R:3 comment="GGA-PBE NaReW, relaxed" formation_enthalpy_0k_ev_per_atom=0.6358 dos_at_fermi_per_ev_cell=1.654 vol_a3_per_atom=17.847 crystal_system=monoclinic relative_energy_ev_per_atom=0.206 pbc="T T T"
Na 0.000 0.000 0.000
Re 1.937 0.000 2.750
W 0.909 0.000 4.999

***

7.
12
Lattice="4.089 0.000 0.000 0.003 6.778 0.000 2.043 0.981 8.035" Properties=species:S:1:pos:R:3 comment="GGA-PBE Sb2PdPt3, relaxed" dos_at_fermi_per_ev_cell=3.948 vol_a3_per_atom=18.558 crystal_system=triclinic formation_energy_uncorrected_ev_per_atom=-0.289 pbc="T T T"
Sb 1.022 2.134 3.472
Sb 3.065 2.401 7.667
Sb 3.070 5.358 0.368
Sb 5.113 5.625 4.563
Pd 3.066 5.932 6.365
Pd 3.069 1.827 1.670
Pt 1.028 6.646 1.937
Pt 1.025 3.747 1.196
Pt 3.066 2.908 4.993
Pt 3.068 4.851 3.042
Pt 5.110 4.012 6.839
Pt 5.107 1.113 6.098

***

8.
4
Lattice="2.869 0.000 0.000 0.000 2.869 0.000 0.000 0.000 8.127" Properties=species:S:1:pos:R:3 comment="GGA-PBE TaAl2Ag, relaxed" formation_enthalpy_0k_ev_per_atom=-0.1406 dos_at_fermi_per_ev_cell=1.192 vol_a3_per_atom=16.718 crystal_system=tetragonal relative_energy_ev_per_atom=0.000 pbc="T T T"
Ta 0.000 0.000 0.000
Al 1.434 1.434 2.020
Al 1.434 1.434 6.107
Ag 0.000 0.000 4.063

***

In order of appearance, total magnetization = 3.01; 0.00; 0.00; 1.61; 0.00; 0.00; 0.00; 0.00 μB/cell.